(1)
A plane-wave DFT calculation with PBE-GGA was carried out for a relaxed SbMoIr crystal.

It has space group P3m1 (No. 156), with a = 4.5069 Å, b = 4.5069 Å, c = 2.9262 Å, α = 90.00°, β = 90.00° and γ = 120.00°. The asymmetric unit holds Sb at (0.0000, 0.0000, 0.0000), Mo at (0.3333, 0.6667, 0.5536) and Ir at (0.6667, 0.3333, 0.0676).

The total energy is -7.67 eV/atom.

---

(2)
A plane-wave DFT calculation with PBE-GGA was carried out for a relaxed SbMoIr crystal.

It has space group I4mm (No. 107), with a = 3.022 Å, b = 3.022 Å, c = 11.651 Å, α = 90.00°, β = 90.00° and γ = 90.00°. The asymmetric unit holds Sb at (0.000, 0.000, 0.000), Mo at (0.000, 0.000, 0.678) and Ir at (0.000, 0.000, 0.314).

The total energy is -7.79 eV/atom.

---

(3)
A plane-wave DFT calculation with PBE-GGA was carried out for a relaxed Sb2MoIr crystal.

It has space group F-43m (No. 216), with a = 6.778 Å, b = 6.778 Å, c = 6.778 Å, α = 90.00°, β = 90.00° and γ = 90.00°. The asymmetric unit holds Sb at (0.000, 0.000, 0.000), Sb at (0.250, 0.250, 0.250), Mo at (0.000, 0.000, 0.500) and Ir at (0.250, 0.250, 0.750).

The excess energy over the best structure of this formula in the dataset comes out at 230.1 kJ/mol of formula units. The total energy is -6.31 eV/atom.

---

| no. | E_form (uncorrected) (meV/atom) |
| --- | --- |
| 1 | 268.5 |
| 2 | 145.0 |
| 3 | 671.6 |